Material: VIrRu2O
Method: DFT, PBE+U
State: relaxed

Its energy is -7.8010 eV/atom. As for the magnetic moment: 0.0 μB per cell.

Lattice parameters (Å, degrees): 4.0175 4.0175 3.9746 90.00 90.00 90.00
Space group P4/mmm (No. 123)
Unique sites:
1 V 0.0000 0.0000 0.0000
2 Ir 0.5000 0.5000 0.0000
3 Ru 0.0000 0.5000 0.5000
4 O 0.0000 0.0000 0.5000